Mg2CdBr: PBEsol geometry, SCAN.

Cell lengths 3.357, 4.843, 5.886 Å; angles 90.00, 90.00, 90.00 degrees
Space group Pmmm (No. 47)
Inequivalent atoms, fractional coordinates:
Mg 0.000 0.000 0.000 (multiplicity 1)
Mg 0.500 0.500 0.500 (multiplicity 1)
Cd 0.000 0.000 0.500 (multiplicity 1)
Br 0.500 0.500 0.000 (multiplicity 1)

Formation energy from raw total energies (eV/atom): -0.285
Energy above the most stable polymorph in this dataset (kJ per mole of atoms): 5.4